No. 1
# Sc2P6Os PBE-GGA optimized geometry
data_Sc2P6Os
_chemical_formula_sum 'Sc2 P6 Os1'
_space_group_name_H-M_alt 'P 1'
_space_group_IT_number 1
_cell_length_a 6.937
_cell_length_b 6.937
_cell_length_c 3.536
_cell_angle_alpha 90.00
_cell_angle_beta 90.00
_cell_angle_gamma 120.00
loop_
_space_group_symop_operation_xyz
'x,y,z'
loop_
_atom_site_label
_atom_site_type_symbol
_atom_site_fract_x
_atom_site_fract_y
_atom_site_fract_z
Sc1 Sc 0.333 0.667 0.000
Sc2 Sc 0.667 0.333 0.000
P1 P 0.000 0.244 0.000
P2 P 0.000 0.642 0.500
P3 P 0.244 0.000 0.000
P4 P 0.358 0.358 0.500
P5 P 0.642 0.000 0.500
P6 P 0.756 0.756 0.000
Os1 Os 0.000 0.000 0.500
# - Theoretical density: 5.3 g cm⁻³
# - Raw total energy: -6.692 eV/atom
# - D(E_F): 5.4 states/eV/f.u.
# - Symmetry: No. 189


No. 2
# Sc2POs2 PBE-GGA optimized geometry
data_Sc2POs2
_chemical_formula_sum 'Sc4 P2 Os4'
_space_group_name_H-M_alt 'P 1'
_space_group_IT_number 1
_cell_length_a 6.158
_cell_length_b 6.158
_cell_length_c 4.485
_cell_angle_alpha 90.00
_cell_angle_beta 90.00
_cell_angle_gamma 90.00
loop_
_space_group_symop_operation_xyz
'x,y,z'
loop_
_atom_site_label
_atom_site_type_symbol
_atom_site_fract_x
_atom_site_fract_y
_atom_site_fract_z
Sc1 Sc 0.172 0.328 0.000
Sc2 Sc 0.328 0.828 0.000
Sc3 Sc 0.672 0.172 0.000
Sc4 Sc 0.828 0.672 0.000
P1 P 0.000 0.000 0.500
P2 P 0.500 0.500 0.500
Os1 Os 0.147 0.647 0.500
Os2 Os 0.353 0.147 0.500
Os3 Os 0.647 0.853 0.500
Os4 Os 0.853 0.353 0.500
# - Theoretical density: 9.8 g cm⁻³
# - Raw total energy: -8.549 eV/atom
# - D(E_F): 4.4 states/eV/f.u.
# - Symmetry: No. 127


No. 3
# Sc2P2Os PBE-GGA optimized geometry
data_Sc2P2Os
_chemical_formula_sum 'Sc4 P4 Os2'
_space_group_name_H-M_alt 'P 1'
_space_group_IT_number 1
_cell_length_a 6.140
_cell_length_b 6.140
_cell_length_c 4.135
_cell_angle_alpha 90.00
_cell_angle_beta 90.00
_cell_angle_gamma 90.00
loop_
_space_group_symop_operation_xyz
'x,y,z'
loop_
_atom_site_label
_atom_site_type_symbol
_atom_site_fract_x
_atom_site_fract_y
_atom_site_fract_z
Sc1 Sc 0.176 0.324 0.000
Sc2 Sc 0.324 0.824 0.000
Sc3 Sc 0.676 0.176 0.000
Sc4 Sc 0.824 0.676 0.000
P1 P 0.135 0.635 0.500
P2 P 0.365 0.135 0.500
P3 P 0.635 0.865 0.500
P4 P 0.865 0.365 0.500
Os1 Os 0.000 0.000 0.500
Os2 Os 0.500 0.500 0.500
# - Theoretical density: 7.3 g cm⁻³
# - Raw total energy: -7.981 eV/atom
# - D(E_F): 2.1 states/eV/f.u.
# - Symmetry: No. 127